Density functional theory data (SCAN) for a crystal of CdAu relaxed with PBEsol.

Lattice parameters (Å, degrees): 4.6466 4.6466 8.4498 90.00 90.00 120.00
With the nearest neighbours (Å) after each atom.
Sites, in units of the cell vectors:
Cd: 0.3333 0.6667 0.0811  7 Au 2.80-3.04, 4 Cd 2.85-3.01
Cd: 0.3333 0.6667 0.4189  7 Au 2.80-3.04, 4 Cd 2.85-3.01
Cd: 0.6667 0.3333 0.5811  7 Au 2.80-3.04, 4 Cd 2.85-3.01
Cd: 0.6667 0.3333 0.9189  7 Au 2.80-3.04, 4 Cd 2.85-3.01
Au: 0.0000 0.0000 0.2500  3 Au 2.68
Au: 0.0000 0.0000 0.7500  3 Au 2.68
Au: 0.3333 0.6667 0.7500  3 Au 2.68, 2 Cd 2.80
Au: 0.6667 0.3333 0.2500  3 Au 2.68, 2 Cd 2.80

**Total moment**: 0.0000 μB per atom
**ΔE_f**: -0.141 eV per atom
**Space group**: P6_3/mmc